VASP calculation (GGA+U) on a relaxed SrCoF crystal.

Lattice parameters (Å, degrees): 3.7562 3.7562 8.5873 90.00 90.00 90.00
Fractional positions:
Sr 0.2500 0.2500 0.1821
Sr 0.7500 0.7500 0.8179
Co 0.2500 0.2500 0.5274
Co 0.7500 0.7500 0.4726
F 0.2500 0.7500 0.0000
F 0.7500 0.2500 0.0000

Properties
- symmetry = P4/nmm (129)
- DOS at the Fermi energy (states/eV/f.u.) = 0.280
- E above lowest polymorph (meV per atom) = 93
- calculated density (g/cm3) = 4.538